Record 1
# SrNdNiAu | the Alexandria database | PBE-GGA | optimized geometry
data_SrNdNiAu
_space_group_name_H-M_alt 'P 1'
_space_group_IT_number 1
_cell_length_a 5.1906
_cell_length_b 5.1906
_cell_length_c 5.1906
_cell_angle_alpha 60.00
_cell_angle_beta 60.00
_cell_angle_gamma 60.00
loop_
_space_group_symop_operation_xyz
'x,y,z'
loop_
_atom_site_label
_atom_site_fract_x
_atom_site_fract_y
_atom_site_fract_z
Ni1 0.5000 0.5000 0.5000
Nd1 0.7500 0.7500 0.7500
Au1 0.0000 0.0000 0.0000
Sr1 0.2500 0.2500 0.2500
# Energy of formation in eV per atom: -0.3380
# Fermi-level density of states in states/eV per cell: 4.1
# V in A^3/atom: 24.72
# Final energy in eV per atom: -4.215
# Total magnetization in μB/f.u.: 0.00

=====

Record 2
# Tb2Ho2Ag | the Alexandria database | PBE-GGA | optimized geometry
data_Tb2Ho2Ag
_space_group_name_H-M_alt 'P 1'
_space_group_IT_number 1
_cell_length_a 5.0111
_cell_length_b 5.0111
_cell_length_c 12.7574
_cell_angle_alpha 101.33
_cell_angle_beta 101.33
_cell_angle_gamma 90.00
loop_
_space_group_symop_operation_xyz
'x,y,z'
loop_
_atom_site_label
_atom_site_fract_x
_atom_site_fract_y
_atom_site_fract_z
Tb1 0.8236 0.8236 0.6471
Tb2 0.5736 0.0736 0.1471
Tb3 0.9264 0.4264 0.8529
Tb4 0.1764 0.1764 0.3529
Ho1 0.4254 0.9254 0.8507
Ho2 0.6754 0.6754 0.3507
Ho3 0.3246 0.3246 0.6493
Ho4 0.0746 0.5746 0.1493
Ag1 0.5000 0.5000 0.0000
Ag2 0.2500 0.7500 0.5000
# Energy of formation in eV per atom: 0.0384
# Offset from the most stable computed form in meV per atom: 142.3
# Fermi-level density of states in states/eV per cell: 16.3
# V in A^3/atom: 30.77
# Final energy in eV per atom: -4.215
# Total magnetization in μB/f.u.: 1.58

=====

Record 3
# LiMg5In6 | the Alexandria database | PBE-GGA | optimized geometry
data_LiMg5In6
_space_group_name_H-M_alt 'P 1'
_space_group_IT_number 1
_cell_length_a 4.6408
_cell_length_b 8.4177
_cell_length_c 8.4177
_cell_angle_alpha 108.84
_cell_angle_beta 105.82
_cell_angle_gamma 105.82
loop_
_space_group_symop_operation_xyz
'x,y,z'
loop_
_atom_site_label
_atom_site_fract_x
_atom_site_fract_y
_atom_site_fract_z
Mg1 0.5000 0.1662 0.8338
Mg2 0.0000 0.3343 0.6657
Mg3 0.5000 0.5000 0.5000
Mg4 0.0000 0.6657 0.3343
Mg5 0.5000 0.8338 0.1662
In1 0.2473 0.0822 0.4126
In2 0.7527 0.5874 0.9178
In3 0.7453 0.2453 0.2453
In4 0.2547 0.7547 0.7547
In5 0.2473 0.4126 0.0822
In6 0.7527 0.9178 0.5874
Li1 0.0000 0.0000 0.0000
# Energy of formation in eV per atom: -0.1193
# Offset from the most stable computed form in meV per atom: 6.9
# Fermi-level density of states in states/eV per cell: 5.0
# V in A^3/atom: 22.91
# Final energy in eV per atom: -2.312
# Total magnetization in μB/f.u.: 0.00

=====

Record 4
# RbFeRe2 | the Alexandria database | PBE-GGA | optimized geometry
data_RbFeRe2
_space_group_name_H-M_alt 'P 1'
_space_group_IT_number 1
_cell_length_a 4.9862
_cell_length_b 4.9862
_cell_length_c 8.9965
_cell_angle_alpha 73.91
_cell_angle_beta 73.91
_cell_angle_gamma 90.00
loop_
_space_group_symop_operation_xyz
'x,y,z'
loop_
_atom_site_label
_atom_site_fract_x
_atom_site_fract_y
_atom_site_fract_z
Re1 0.3749 0.1250 0.2500
Re2 0.3751 0.6250 0.2500
Re3 0.3750 0.6251 0.7500
Re4 0.8750 0.6249 0.7500
Fe1 0.5000 0.5000 0.0000
Fe2 0.2500 0.7500 0.5000
Rb1 0.0000 0.0000 0.0000
Rb2 0.7500 0.2500 0.5000
# Energy of formation in eV per atom: 1.8562
# Offset from the most stable computed form in meV per atom: 0.0
# Fermi-level density of states in states/eV per cell: 14.6
# V in A^3/atom: 25.72
# Final energy in eV per atom: -6.725
# Total magnetization in μB/f.u.: 1.33

=====

Record 5
# Tb3SmDyTh | the Alexandria database | PBE-GGA | optimized geometry
data_Tb3SmDyTh
_space_group_name_H-M_alt 'P 1'
_space_group_IT_number 1
_cell_length_a 3.5818
_cell_length_b 10.7090
_cell_length_c 10.7027
_cell_angle_alpha 109.30
_cell_angle_beta 90.00
_cell_angle_gamma 90.00
loop_
_space_group_symop_operation_xyz
'x,y,z'
loop_
_atom_site_label
_atom_site_fract_x
_atom_site_fract_y
_atom_site_fract_z
Tb1 0.7500 0.8708 0.0425
Tb2 0.2500 0.1292 0.9575
Tb3 0.2500 0.6259 0.4567
Tb4 0.7500 0.3741 0.5433
Tb5 0.7500 0.3794 0.2058
Tb6 0.2500 0.6206 0.7942
Sm1 0.2500 0.1248 0.2920
Sm2 0.7500 0.8752 0.7080
Dy1 0.2500 0.1287 0.6268
Dy2 0.7500 0.8713 0.3732
Th1 0.2500 0.6242 0.1228
Th2 0.7500 0.3758 0.8772
# Energy of formation in eV per atom: 0.0227
# Fermi-level density of states in states/eV per cell: 16.7
# V in A^3/atom: 32.29
# Final energy in eV per atom: -5.083
# Total magnetization in μB/f.u.: 0.00

=====

Record 6
# Pt3PbBr | the Alexandria database | PBE-GGA | optimized geometry
data_Pt3PbBr
_space_group_name_H-M_alt 'P 1'
_space_group_IT_number 1
_cell_length_a 5.1376
_cell_length_b 5.1376
_cell_length_c 5.1376
_cell_angle_alpha 90.00
_cell_angle_beta 90.00
_cell_angle_gamma 90.00
loop_
_space_group_symop_operation_xyz
'x,y,z'
loop_
_atom_site_label
_atom_site_fract_x
_atom_site_fract_y
_atom_site_fract_z
Pb1 0.0000 0.0000 0.0000
Br1 0.5000 0.5000 0.5000
Pt1 0.0000 0.5000 0.0000
Pt2 0.0000 0.0000 0.5000
Pt3 0.5000 0.0000 0.0000
# Offset from the most stable computed form in meV per atom: 447.4
# Fermi-level density of states in states/eV per cell: 2.1
# V in A^3/atom: 27.12
# Final energy in eV per atom: -3.450
# Energy relative to the elements, uncorrected in eV per atom: 1.251
# Total magnetization in μB/f.u.: 0.00

=====

Record 7
# RbSe2SBr | the Alexandria database | PBE-GGA | optimized geometry
data_RbSe2SBr
_space_group_name_H-M_alt 'P 1'
_space_group_IT_number 1
_cell_length_a 6.8023
_cell_length_b 6.8023
_cell_length_c 6.4696
_cell_angle_alpha 90.00
_cell_angle_beta 90.00
_cell_angle_gamma 90.00
loop_
_space_group_symop_operation_xyz
'x,y,z'
loop_
_atom_site_label
_atom_site_fract_x
_atom_site_fract_y
_atom_site_fract_z
S1 0.5000 0.5000 0.5000
Se1 0.0000 0.5000 0.0000
Se2 0.5000 0.0000 0.0000
Br1 0.0000 0.0000 0.5000
Rb1 0.0000 0.0000 0.0000
# Offset from the most stable computed form in meV per atom: 1159.7
# Fermi-level density of states in states/eV per cell: 5.8
# V in A^3/atom: 59.87
# Final energy in eV per atom: -1.796
# Energy relative to the elements, uncorrected in eV per atom: 0.952
# Total magnetization in μB/f.u.: 6.01

=====

Record 8
# La4PAuI2 | the Alexandria database | PBE-GGA | optimized geometry
data_La4PAuI2
_space_group_name_H-M_alt 'P 1'
_space_group_IT_number 1
_cell_length_a 4.2886
_cell_length_b 7.7706
_cell_length_c 8.1249
_cell_angle_alpha 107.31
_cell_angle_beta 90.00
_cell_angle_gamma 90.00
loop_
_space_group_symop_operation_xyz
'x,y,z'
loop_
_atom_site_label
_atom_site_fract_x
_atom_site_fract_y
_atom_site_fract_z
La1 0.5000 0.2188 0.2038
La2 0.5000 0.7812 0.7962
La3 0.0000 0.2593 0.7936
La4 0.0000 0.7407 0.2064
P1 0.0000 0.0000 0.0000
Au1 0.5000 0.5000 0.0000
I1 0.5000 0.0000 0.5000
I2 0.0000 0.5000 0.5000
# Fermi-level density of states in states/eV per cell: 5.8
# V in A^3/atom: 32.31
# Final energy in eV per atom: -5.102
# Energy relative to the elements, uncorrected in eV per atom: -1.165
# Total magnetization in μB/f.u.: 0.00